{
  "formula": "Li2NbZn2",
  "functional": "PBE",
  "state": "relaxed",
  "ef_ev_per_atom": 0.01,
  "cell": [[-1.4994, -2.7470, 6.8022], [7.1184, -2.2229, 0.6714], [0.6192, 2.3054, 1.0675]],
  "species": ["Zn", "Zn", "Zn", "Zn", "Li", "Li", "Li", "Li", "Nb", "Nb"],
  "frac_coords": [[0.8164, 0.3164, 0.5000], [0.3164, 0.1836, 0.5000], [0.6836, 0.8164, 0.5000], [0.1836, 0.6836, 0.5000], [0.6173, 0.1173, 0.0000], [0.8827, 0.6173, 0.0000], [0.1173, 0.3827, 0.0000], [0.3827, 0.8827, 0.0000], [0.5000, 0.5000, 0.0000], [0.0000, 0.0000, 0.0000]]
}

***

{
  "formula": "KZnAu3",
  "functional": "PBE",
  "state": "relaxed",
  "ef_ev_per_atom": -0.07,
  "cell": [[5.0352, 0.0000, 0.0000], [0.0000, 5.0352, 0.0000], [0.0000, 0.0000, 5.0352]],
  "species": ["Au", "Au", "Au", "Zn", "K"],
  "frac_coords": [[0.5000, 0.0000, 0.0000], [0.0000, 0.5000, 0.0000], [0.0000, 0.0000, 0.5000], [0.0000, 0.0000, 0.0000], [0.5000, 0.5000, 0.5000]]
}

***

{
  "formula": "K8RbHg2",
  "functional": "PBE",
  "state": "relaxed",
  "ef_ev_per_atom": -0.08,
  "cell": [[7.1669, -0.0250, -0.0375], [-1.2177, 10.0597, -0.0803], [-1.2177, -3.9485, 9.2528]],
  "species": ["K", "K", "K", "K", "K", "K", "K", "K", "Hg", "Hg", "Rb"],
  "frac_coords": [[0.9158, 0.6635, 0.9362], [0.5000, 0.2627, 0.7373], [0.7190, 0.4034, 0.4034], [0.2810, 0.5966, 0.5966], [0.9158, 0.9362, 0.6635], [0.5000, 0.7373, 0.2627], [0.0842, 0.0638, 0.3365], [0.0842, 0.3365, 0.0638], [0.0000, 0.6854, 0.3146], [0.0000, 0.3146, 0.6854], [0.5000, 0.0000, 0.0000]]
}

***

{
  "formula": "Ta2AlW",
  "functional": "PBE",
  "state": "relaxed",
  "ef_ev_per_atom": 0.05,
  "cell": [[4.5747, 0.0000, 0.0000], [2.2873, 3.9618, 0.0000], [2.2873, 1.3206, 3.7352]],
  "species": ["Al", "Ta", "Ta", "W"],
  "frac_coords": [[0.5000, 0.5000, 0.5000], [0.0000, 0.0000, 0.0000], [0.7500, 0.7500, 0.7500], [0.2500, 0.2500, 0.2500]]
}

***

{
  "formula": "LaPr2F",
  "functional": "PBE",
  "state": "relaxed",
  "formation_energy_uncorrected_ev_per_atom": -1.154,
  "cell": [[-2.3338, -0.6638, 2.9519], [1.3346, -1.7162, 3.1424], [1.7835, 7.2139, 5.5055]],
  "species": ["Pr", "Pr", "La", "F"],
  "frac_coords": [[0.2754, 0.2754, 0.1739], [0.7246, 0.7246, 0.8261], [0.5000, 0.5000, 0.5000], [0.0000, 0.0000, 0.0000]]
}

***

{
  "formula": "K5Rb4Sr",
  "functional": "PBE",
  "state": "relaxed",
  "ef_ev_per_atom": 0.04,
  "cell": [[-2.5375, -3.1369, 2.3381], [3.9116, -1.9773, 1.5923], [-0.6015, 21.3490, 27.9894]],
  "species": ["K", "K", "K", "K", "K", "Rb", "Rb", "Rb", "Rb", "Sr"],
  "frac_coords": [[0.5000, 0.5000, 0.2935], [0.5000, 0.5000, 0.5000], [0.5000, 0.5000, 0.7065], [0.5000, 0.5000, 0.0879], [0.5000, 0.5000, 0.9121], [0.0000, 0.0000, 0.6035], [0.0000, 0.0000, 0.3965], [0.0000, 0.0000, 0.8095], [0.0000, 0.0000, 0.1905], [0.0000, 0.0000, 0.0000]]
}

***

{
  "formula": "AsHRu2",
  "functional": "PBE",
  "state": "relaxed",
  "cell": [[-3.0814, 3.2949, -2.4561], [-0.1499, -3.1579, -4.0483], [-4.7107, -1.7077, -1.7520]],
  "species": ["As", "As", "Ru", "Ru", "Ru", "Ru", "H", "H"],
  "frac_coords": [[0.7500, 0.2500, 0.5000], [0.0000, 0.0000, 0.0000], [0.8750, 0.7710, 0.7500], [0.5210, 0.1250, 0.2500], [0.2290, 0.6250, 0.2500], [0.3750, 0.4790, 0.7500], [0.5000, 0.5000, 0.0000], [0.2500, 0.7500, 0.5000]]
}

***

{
  "formula": "AgI",
  "functional": "PBE",
  "state": "relaxed",
  "formation_energy_uncorrected_ev_per_atom": -0.235,
  "cell": [[4.5257, 0.0000, 0.0000], [0.0000, 4.5257, 0.0000], [0.0000, 0.0000, 6.9823]],
  "species": ["Ag", "Ag", "I", "I"],
  "frac_coords": [[0.5000, 0.5000, 0.0000], [0.0000, 0.0000, 0.0000], [0.0000, 0.5000, 0.7358], [0.5000, 0.0000, 0.2642]]
}

***

{
  "formula": "YZrTcPd",
  "functional": "PBE",
  "state": "relaxed",
  "ef_ev_per_atom": -0.43,
  "cell": [[-0.3008, -4.2046, 2.2765], [3.3624, -3.3424, -0.6881], [3.0873, -1.0500, 3.5096]],
  "species": ["Zr", "Y", "Pd", "Tc"],
  "frac_coords": [[0.2500, 0.2500, 0.2500], [0.7500, 0.7500, 0.7500], [0.5000, 0.5000, 0.5000], [0.0000, 0.0000, 0.0000]]
}

***

{
  "formula": "Rb2NaAs2S6",
  "functional": "PBE",
  "state": "relaxed",
  "formation_energy_uncorrected_ev_per_atom": -0.532,
  "cell": [[7.1574, 0.0000, 0.0000], [-3.5787, 6.2834, -0.1202], [0.0000, -3.7858, 7.5118]],
  "species": ["S", "S", "S", "S", "S", "S", "Rb", "Rb", "As", "As", "Na"],
  "frac_coords": [[0.8032, 0.1150, 0.8033], [0.1968, 0.8850, 0.1967], [0.7780, 0.5560, 0.6731], [0.3118, 0.1150, 0.8033], [0.6882, 0.8850, 0.1967], [0.2220, 0.4440, 0.3269], [0.2926, 0.5852, 0.7875], [0.7074, 0.4148, 0.2125], [0.0301, 0.0603, 0.1888], [0.9699, 0.9397, 0.8112], [0.5000, 0.0000, 0.5000]]
}

***

{
  "formula": "Pm2MgBi4",
  "functional": "PBE",
  "state": "relaxed",
  "ef_ev_per_atom": -0.56,
  "cell": [[-2.8677, 2.7851, -2.1518], [-3.5129, -2.0958, 1.9691], [0.5096, 6.9059, 8.2591]],
  "species": ["Bi", "Bi", "Bi", "Bi", "Pm", "Pm", "Mg"],
  "frac_coords": [[0.0000, 0.0000, 0.5000], [0.0000, 0.5000, 0.8262], [0.5000, 0.0000, 0.1738], [0.5000, 0.5000, 0.5000], [0.5000, 0.0000, 0.7379], [0.0000, 0.5000, 0.2621], [0.5000, 0.5000, 0.0000]]
}

***

{
  "formula": "BaCuSnP2",
  "functional": "PBE",
  "state": "relaxed",
  "ef_ev_per_atom": -0.37,
  "cell": [[4.6802, 0.0000, 0.0000], [-2.3401, 6.3576, 0.0719], [0.0000, -1.4599, 8.7223]],
  "species": ["Cu", "Cu", "P", "P", "P", "P", "Sn", "Sn", "Ba", "Ba"],
  "frac_coords": [[0.6722, 0.3445, 0.0788], [0.3278, 0.6555, 0.9212], [0.8566, 0.7133, 0.0500], [0.1434, 0.2867, 0.9500], [0.3815, 0.7629, 0.6779], [0.6185, 0.2371, 0.3221], [0.0543, 0.1086, 0.2050], [0.9457, 0.8914, 0.7950], [0.3398, 0.6797, 0.3070], [0.6602, 0.3203, 0.6930]]
}

***

Number 1: volume 14.66 Å³ per atom, final energy -32.80 eV per cell. Number 2: volume 25.53 Å³ per atom, final energy -12.55 eV per cell. Number 3: volume 60.35 Å³ per atom, final energy -11.24 eV per cell. Number 4: volume 16.92 Å³ per atom, final energy -40.18 eV per cell. Number 5: volume 28.39 Å³ per atom, final energy -20.97 eV per cell. Number 6: volume 76.56 Å³ per atom, final energy -10.67 eV per cell. Number 7: volume 12.77 Å³ per atom, final energy -51.36 eV per cell. Number 8: volume 35.75 Å³ per atom, final energy -9.74 eV per cell. Number 9: volume 19.44 Å³ per atom, final energy -32.29 eV per cell. Number 10: volume 30.41 Å³ per atom, final energy -43.17 eV per cell. Number 11: volume 31.73 Å³ per atom, final energy -30.51 eV per cell. Number 12: volume 26.00 Å³ per atom, final energy -45.35 eV per cell.